# 1
# Rb2GaSb, optimized geometry, DFT GGA-PBEsol
# **Energy relative to the elements, uncorrected**: 0.017 eV per atom
data_Rb2GaSb
_cell_length_a 8.3202
_cell_length_b 8.3202
_cell_length_c 8.3202
_cell_angle_alpha 90.00
_cell_angle_beta 90.00
_cell_angle_gamma 90.00
_symmetry_space_group_name_H-M 'F m -3 m'
_symmetry_Int_Tables_number 225
_symmetry_space_group_name_Hall '-F 4 2 3'
loop_
_atom_site_label
_atom_site_type_symbol
_atom_site_fract_x
_atom_site_fract_y
_atom_site_fract_z
Rb1 Rb 0.2500 0.2500 0.2500
Ga1 Ga 0.0000 0.0000 0.0000
Sb1 Sb 0.0000 0.0000 0.5000

=====

# 2
# RbSc2TiGa, optimized geometry, DFT GGA-PBEsol
# **Energy relative to the elements**: 58 kJ/mol of atoms
data_RbSc2TiGa
_cell_length_a 5.2865
_cell_length_b 5.2865
_cell_length_c 5.0867
_cell_angle_alpha 90.00
_cell_angle_beta 90.00
_cell_angle_gamma 90.00
_symmetry_space_group_name_H-M 'P 4/m m m'
_symmetry_Int_Tables_number 123
_symmetry_space_group_name_Hall '-P 4 2'
loop_
_atom_site_label
_atom_site_type_symbol
_atom_site_fract_x
_atom_site_fract_y
_atom_site_fract_z
Rb1 Rb 0.0000 0.0000 0.0000
Sc1 Sc 0.0000 0.5000 0.5000
Ti1 Ti 0.5000 0.5000 0.0000
Ga1 Ga 0.5000 0.5000 0.5000

=====

# 3
# RbGaSe2, optimized geometry, DFT GGA-PBEsol
# **Energy relative to the elements, uncorrected**: -0.901 eV per atom
data_RbGaSe2
_cell_length_a 7.4332
_cell_length_b 7.4332
_cell_length_c 8.5523
_cell_angle_alpha 90.00
_cell_angle_beta 90.00
_cell_angle_gamma 90.00
_symmetry_space_group_name_H-M 'I -4 2 d'
_symmetry_Int_Tables_number 122
_symmetry_space_group_name_Hall 'I -4 2bw'
loop_
_atom_site_label
_atom_site_type_symbol
_atom_site_fract_x
_atom_site_fract_y
_atom_site_fract_z
Rb1 Rb 0.0000 0.0000 0.0000
Ga1 Ga 0.0000 0.0000 0.5000
Se1 Se 0.1508 0.2500 0.6250

=====

# 4
# RbGaSe2, optimized geometry, DFT GGA-PBEsol
# **Energy relative to the elements, uncorrected**: -0.452 eV per atom
data_RbGaSe2
_cell_length_a 3.8496
_cell_length_b 3.8496
_cell_length_c 27.2237
_cell_angle_alpha 90.00
_cell_angle_beta 90.00
_cell_angle_gamma 120.00
_symmetry_space_group_name_H-M 'R -3 m'
_symmetry_Int_Tables_number 166
_symmetry_space_group_name_Hall '-R 3 2"'
loop_
_atom_site_label
_atom_site_type_symbol
_atom_site_fract_x
_atom_site_fract_y
_atom_site_fract_z
Rb1 Rb 0.0000 0.0000 0.0000
Ga1 Ga 0.0000 0.0000 0.5000
Se1 Se 0.0000 0.0000 0.1154

=====

# 5
# Rb3GaSe, optimized geometry, DFT GGA-PBEsol
# **Energy relative to the elements, uncorrected**: 0.122 eV per atom
data_Rb3GaSe
_cell_length_a 6.2360
_cell_length_b 6.2360
_cell_length_c 6.2360
_cell_angle_alpha 90.00
_cell_angle_beta 90.00
_cell_angle_gamma 90.00
_symmetry_space_group_name_H-M 'P m -3 m'
_symmetry_Int_Tables_number 221
_symmetry_space_group_name_Hall '-P 4 2 3'
loop_
_atom_site_label
_atom_site_type_symbol
_atom_site_fract_x
_atom_site_fract_y
_atom_site_fract_z
Rb1 Rb 0.0000 0.0000 0.5000
Ga1 Ga 0.0000 0.0000 0.0000
Se1 Se 0.5000 0.5000 0.5000

=====

# 6
# RbGa3Se, optimized geometry, DFT GGA-PBEsol
# **Energy relative to the elements, uncorrected**: 1.204 eV per atom
data_RbGa3Se
_cell_length_a 5.7253
_cell_length_b 5.7253
_cell_length_c 5.7253
_cell_angle_alpha 90.00
_cell_angle_beta 90.00
_cell_angle_gamma 90.00
_symmetry_space_group_name_H-M 'P m -3 m'
_symmetry_Int_Tables_number 221
_symmetry_space_group_name_Hall '-P 4 2 3'
loop_
_atom_site_label
_atom_site_type_symbol
_atom_site_fract_x
_atom_site_fract_y
_atom_site_fract_z
Rb1 Rb 0.0000 0.0000 0.0000
Ga1 Ga 0.0000 0.0000 0.5000
Se1 Se 0.5000 0.5000 0.5000

=====

# 7
# RbGaSe2, optimized geometry, DFT GGA-PBEsol
# **Energy relative to the elements, uncorrected**: -0.553 eV per atom
data_RbGaSe2
_cell_length_a 5.5562
_cell_length_b 5.5562
_cell_length_c 21.1755
_cell_angle_alpha 90.00
_cell_angle_beta 90.00
_cell_angle_gamma 120.00
_symmetry_space_group_name_H-M 'R -3 m'
_symmetry_Int_Tables_number 166
_symmetry_space_group_name_Hall '-R 3 2"'
loop_
_atom_site_label
_atom_site_type_symbol
_atom_site_fract_x
_atom_site_fract_y
_atom_site_fract_z
Rb1 Rb 0.0000 0.0000 0.0000
Ga1 Ga 0.0000 0.0000 0.5000
Se1 Se 0.0000 0.0000 0.3970

=====

# 8
# RbGaSi3, optimized geometry, DFT GGA-PBEsol
# **Energy relative to the elements, uncorrected**: 2.162 eV per atom
data_RbGaSi3
_cell_length_a 5.4217
_cell_length_b 5.4217
_cell_length_c 5.4217
_cell_angle_alpha 90.00
_cell_angle_beta 90.00
_cell_angle_gamma 90.00
_symmetry_space_group_name_H-M 'P m -3 m'
_symmetry_Int_Tables_number 221
_symmetry_space_group_name_Hall '-P 4 2 3'
loop_
_atom_site_label
_atom_site_type_symbol
_atom_site_fract_x
_atom_site_fract_y
_atom_site_fract_z
Rb1 Rb 0.0000 0.0000 0.0000
Ga1 Ga 0.5000 0.5000 0.5000
Si1 Si 0.0000 0.0000 0.5000

=====

# 9
# RbTlGa2Si, optimized geometry, DFT GGA-PBEsol
# **Energy relative to the elements, uncorrected**: 0.617 eV per atom
data_RbTlGa2Si
_cell_length_a 5.5319
_cell_length_b 5.5319
_cell_length_c 5.3386
_cell_angle_alpha 90.00
_cell_angle_beta 90.00
_cell_angle_gamma 90.00
_symmetry_space_group_name_H-M 'P 4/m m m'
_symmetry_Int_Tables_number 123
_symmetry_space_group_name_Hall '-P 4 2'
loop_
_atom_site_label
_atom_site_type_symbol
_atom_site_fract_x
_atom_site_fract_y
_atom_site_fract_z
Rb1 Rb 0.0000 0.0000 0.0000
Tl1 Tl 0.5000 0.5000 0.5000
Ga1 Ga 0.0000 0.5000 0.5000
Si1 Si 0.5000 0.5000 0.0000

=====

# 10
# RbGaSn3, optimized geometry, DFT GGA-PBEsol
# **Energy relative to the elements**: 130 kJ/mol of atoms
data_RbGaSn3
_cell_length_a 5.9107
_cell_length_b 5.9107
_cell_length_c 5.9107
_cell_angle_alpha 90.00
_cell_angle_beta 90.00
_cell_angle_gamma 90.00
_symmetry_space_group_name_H-M 'P m -3 m'
_symmetry_Int_Tables_number 221
_symmetry_space_group_name_Hall '-P 4 2 3'
loop_
_atom_site_label
_atom_site_type_symbol
_atom_site_fract_x
_atom_site_fract_y
_atom_site_fract_z
Rb1 Rb 0.0000 0.0000 0.0000
Ga1 Ga 0.5000 0.5000 0.5000
Sn1 Sn 0.0000 0.0000 0.5000

=====

# 11
# RbSr3Ga, optimized geometry, DFT GGA-PBEsol
# **Energy relative to the elements**: -5 kJ/mol of atoms
data_RbSr3Ga
_cell_length_a 6.3266
_cell_length_b 6.3266
_cell_length_c 6.3266
_cell_angle_alpha 90.00
_cell_angle_beta 90.00
_cell_angle_gamma 90.00
_symmetry_space_group_name_H-M 'P m -3 m'
_symmetry_Int_Tables_number 221
_symmetry_space_group_name_Hall '-P 4 2 3'
loop_
_atom_site_label
_atom_site_type_symbol
_atom_site_fract_x
_atom_site_fract_y
_atom_site_fract_z
Rb1 Rb 0.0000 0.0000 0.0000
Sr1 Sr 0.0000 0.5000 0.5000
Ga1 Ga 0.5000 0.5000 0.5000

=====

# 12
# Rb2ZrGaTe, optimized geometry, DFT GGA-PBEsol
# **Energy relative to the elements, uncorrected**: 0.614 eV per atom
data_Rb2ZrGaTe
_cell_length_a 6.8023
_cell_length_b 6.8023
_cell_length_c 5.4123
_cell_angle_alpha 90.00
_cell_angle_beta 90.00
_cell_angle_gamma 90.00
_symmetry_space_group_name_H-M 'P 4/m m m'
_symmetry_Int_Tables_number 123
_symmetry_space_group_name_Hall '-P 4 2'
loop_
_atom_site_label
_atom_site_type_symbol
_atom_site_fract_x
_atom_site_fract_y
_atom_site_fract_z
Rb1 Rb 0.0000 0.5000 0.0000
Zr1 Zr 0.0000 0.0000 0.0000
Ga1 Ga 0.5000 0.5000 0.5000
Te1 Te 0.0000 0.0000 0.5000